DyPaPb: relaxed, PBE.

Computed properties:
The total magnetic moment comes out at 0.791 Bohr magnetons per cell. For the excess energy over the best structure of this formula in the dataset, the calculation gives 0.142 eV per atom. The calculated volume is 85 Å³ per cell. Its energy of formation is 0.122 eV/atom.

Structure (extended XYZ):
```
3
Lattice="-2.0211 -3.3939 -0.8153 3.4283 -2.1071 0.2730 -1.5484 2.0339 5.3485" Properties=species:S:1:pos:R:3 pbc="T T T"
Pb -0.4848 -0.4113 2.9142
Dy -0.0341 -3.3764 4.1630
Pa 0.4902 -2.9316 1.0120
```


PmDyPaPb: relaxed, PBE.

Computed properties:
The total magnetic moment comes out at 1.369 Bohr magnetons per cell. The calculated volume is 114 Å³ per cell. Its energy of formation is 0.156 eV/atom.

Structure (extended XYZ):
```
4
Lattice="-4.8996 2.2482 0.7014 -4.2552 -3.1138 1.3228 -2.1571 0.3180 4.9798" Properties=species:S:1:pos:R:3 pbc="T T T"
Pm -5.6560 -0.2738 3.5020
Pa -8.4840 -0.4108 5.2530
Pb -2.8280 -0.1369 1.7510
Dy 0.0000 0.0000 0.0000
```


DyPuPaPb: relaxed, PBE.

Computed properties:
The total magnetic moment comes out at 7.263 Bohr magnetons per cell. The calculated volume is 106 Å³ per cell. Its energy of formation is 0.120 eV/atom.

Structure (extended XYZ):
```
4
Lattice="5.3132 0.0000 0.0000 2.6566 4.6014 0.0000 2.6566 1.5338 4.3382" Properties=species:S:1:pos:R:3 pbc="T T T"
Dy 7.9699 4.6014 3.2537
Pa 0.0000 0.0000 0.0000
Pb 5.3132 3.0676 2.1691
Pu 2.6566 1.5338 1.0846
```


DyPaPb2S6: relaxed, PBE.

Computed properties:
The total magnetic moment comes out at 0.000 Bohr magnetons per cell. The calculation puts the uncorrected formation energy at -1.27 eV per atom. The calculated volume is 276 Å³ per cell.

Structure (extended XYZ):
```
10
Lattice="7.2020 0.0003 0.0004 3.6012 6.2371 0.0002 3.6010 2.0794 6.1390" Properties=species:S:1:pos:R:3 pbc="T T T"
S 5.7303 6.6136 1.6092
S 5.8113 1.6561 1.6094
S 7.9754 2.2167 4.7089
S 10.0648 4.2053 1.6097
S 8.4968 5.7989 4.7086
S 5.1339 4.4595 4.7087
Pb 7.2024 4.1585 2.5796
Pb 3.6010 2.0795 5.6916
Dy 10.8031 6.2376 3.3390
Pa 3.6010 2.0791 0.2260
```


DyPaSnPb: relaxed, PBE.

Computed properties:
The total magnetic moment comes out at 2.133 Bohr magnetons per cell. The calculated volume is 110 Å³ per cell. Its energy of formation is -0.163 eV/atom.

Structure (extended XYZ):
```
4
Lattice="5.3723 0.0000 0.0000 2.6862 4.6526 0.0000 2.6862 1.5509 4.3865" Properties=species:S:1:pos:R:3 pbc="T T T"
Dy 5.3723 3.1017 2.1932
Pa 0.0000 0.0000 0.0000
Pb 8.0585 4.6526 3.2899
Sn 2.6862 1.5509 1.0966
```


DyPaPd4: relaxed, PBE.

Computed properties:
The total magnetic moment comes out at 0.001 Bohr magnetons per cell. For the excess energy over the best structure of this formula in the dataset, the calculation gives 0.000 eV per atom. The calculated volume is 239 Å³ per cell. Its energy of formation is -0.770 eV/atom.

Structure (extended XYZ):
```
12
Lattice="-0.5495 -0.5944 4.0635 -4.8611 -2.8528 -1.0747 5.4385 -8.2913 -2.5897" Properties=species:S:1:pos:R:3 pbc="T T T"
Pd -0.8873 -3.9060 -0.6913
Pd -2.4305 -1.4264 -0.5373
Pd -0.7624 -2.2207 1.6845
Pd 0.9152 -7.8326 1.0905
Pd 0.0000 0.0000 0.0000
Pd 0.7902 -9.5179 -1.2853
Pd -1.4378 -9.2135 0.5703
Pd 1.4657 -2.5250 -0.1711
Pa 3.1267 -7.9349 -0.7378
Pa -3.0988 -3.8036 1.1370
Dy 0.8390 -4.8842 1.5114
Dy -0.8112 -6.8544 -1.1123
```


DyPaPd2: relaxed, PBE.

Computed properties:
The total magnetic moment comes out at 1.101 Bohr magnetons per cell. For the excess energy over the best structure of this formula in the dataset, the calculation gives 0.000 eV per atom. The calculated volume is 86 Å³ per cell. Its energy of formation is -0.588 eV/atom.

Structure (extended XYZ):
```
4
Lattice="3.4050 0.0000 0.0000 0.0000 3.4050 0.0000 0.0000 0.0000 7.4278" Properties=species:S:1:pos:R:3 pbc="T T T"
Dy 1.7025 1.7025 3.7139
Pa 1.7025 1.7025 0.0000
Pd 0.0000 0.0000 5.5345
Pd 0.0000 0.0000 1.8933
```


Dy3PaPd12: relaxed, PBE.

Computed properties:
The total magnetic moment comes out at 0.000 Bohr magnetons per cell. The calculated volume is 281 Å³ per cell. Its energy of formation is -0.900 eV/atom.

Structure (extended XYZ):
```
16
Lattice="4.1354 0.0000 0.0000 0.0000 4.1354 0.0000 0.0000 0.0000 16.4388" Properties=species:S:1:pos:R:3 pbc="T T T"
Pd 2.0677 0.0000 6.1589
Pd 2.0677 2.0677 12.3580
Pd 2.0677 0.0000 1.9919
Pd 2.0677 2.0677 0.0000
Pd 0.0000 2.0677 6.1589
Pd 0.0000 2.0677 1.9919
Pd 2.0677 2.0677 8.2194
Pd 0.0000 2.0677 10.2799
Pd 2.0677 0.0000 10.2799
Pd 2.0677 0.0000 14.4469
Pd 0.0000 2.0677 14.4469
Pd 2.0677 2.0677 4.0808
Dy 0.0000 0.0000 4.2006
Dy 0.0000 0.0000 8.2194
Dy 0.0000 0.0000 12.2382
Pa 0.0000 0.0000 0.0000
```


Dy2PaPd: relaxed, PBE.

Computed properties:
The total magnetic moment comes out at 0.003 Bohr magnetons per cell. For the excess energy over the best structure of this formula in the dataset, the calculation gives 0.000 eV per atom. The calculated volume is 98 Å³ per cell. Its energy of formation is -0.298 eV/atom.

Structure (extended XYZ):
```
4
Lattice="3.4713 0.0000 0.0000 0.0000 3.4713 0.0000 0.0000 0.0000 8.1590" Properties=species:S:1:pos:R:3 pbc="T T T"
Dy 0.0000 0.0000 6.4108
Dy 0.0000 0.0000 1.7482
Pd 1.7356 1.7356 0.0000
Pa 1.7356 1.7356 4.0795
```


DyPa2Pd: relaxed, PBE.

Computed properties:
The total magnetic moment comes out at 0.000 Bohr magnetons per cell. The calculated volume is 98 Å³ per cell. Its energy of formation is 0.193 eV/atom.

Structure (extended XYZ):
```
4
Lattice="3.1636 0.0000 0.0000 1.5818 2.7397 0.0000 1.5818 0.9132 11.3420" Properties=species:S:1:pos:R:3 pbc="T T T"
Pd 0.0000 0.0000 0.0000
Dy 3.1636 1.8265 5.6710
Pa 1.5818 0.9132 8.6548
Pa 4.7454 2.7397 2.6872
```


Dy2PaPd: relaxed, PBE.

Computed properties:
The total magnetic moment comes out at 0.000 Bohr magnetons per cell. For the excess energy over the best structure of this formula in the dataset, the calculation gives 0.317 eV per atom. The calculated volume is 100 Å³ per cell. Its energy of formation is 0.019 eV/atom.

Structure (extended XYZ):
```
4
Lattice="3.2596 0.0000 0.0000 1.6298 2.8229 0.0000 1.6298 0.9410 10.8858" Properties=species:S:1:pos:R:3 pbc="T T T"
Dy 1.6298 0.9410 7.6830
Dy 4.8894 2.8229 3.2028
Pd 3.2596 1.8819 5.4429
Pa 0.0000 0.0000 0.0000
```


Dy2PaPd9: relaxed, PBE.

Computed properties:
The total magnetic moment comes out at 0.000 Bohr magnetons per cell. The calculated volume is 211 Å³ per cell. Its energy of formation is -0.904 eV/atom.

Structure (extended XYZ):
```
12
Lattice="-0.2762 -1.8056 -3.7038 4.0942 0.2984 -0.4508 1.3927 -11.0939 5.3046" Properties=species:S:1:pos:R:3 pbc="T T T"
Dy 0.9208 -7.3350 3.5072
Dy 0.4719 -3.7589 1.7973
Pd 1.0294 -10.2027 2.5949
Pd 0.5583 -6.4498 0.8004
Pd 3.2145 -9.1507 4.2214
Pd 2.8402 -8.1711 1.4694
Pd 1.9090 -0.7536 -2.0773
Pd 0.0871 -2.6968 -0.9941
Pd 2.2723 -1.6448 0.6324
Pd 2.7434 -5.3977 2.4269
Pd 2.3705 -4.4300 -0.3194
Pa 0.0000 0.0000 0.0000
```